P) BeCoAsPt after structural relaxation. Source: OQMD via LeMat-Bulk, functional PBE.

The space group is F-43m (No. 216) and the conventional cell measures 5.8858, 5.8858 and 5.8858 Å, with angles of 90.00, 90.00 and 90.00 degrees. The distinct sites, in fractional coordinates, are Be at (0.0000, 0.0000, 0.0000), Co at (0.2500, 0.2500, 0.7500), As at (0.0000, 0.0000, 0.5000) and Pt at (0.2500, 0.2500, 0.2500).

The mass density comes out at 11.0 Mg/m³. The total magnetization comes out at 1.37 μB per formula unit. As for the volume: 12.74 Å³ per atom.

Q) BeCoAsPt after structural relaxation. Source: OQMD via LeMat-Bulk, functional PBE.

The space group is F-43m (No. 216) and the conventional cell measures 5.9293, 5.9293 and 5.9293 Å, with angles of 90.00, 90.00 and 90.00 degrees. The distinct sites, in fractional coordinates, are Be at (0.0000, 0.0000, 0.0000), Co at (0.0000, 0.0000, 0.5000), As at (0.2500, 0.2500, 0.2500) and Pt at (0.2500, 0.2500, 0.7500).

The mass density comes out at 10.8 Mg/m³. The total magnetization comes out at 0.86 μB per formula unit. As for the volume: 13.03 Å³ per atom.

Relative stability in meV per atom, measured from the most stable structure: P) 0; Q) 152

P) BeCoReAs after structural relaxation. Source: OQMD via LeMat-Bulk, functional PBE.

The space group is F-43m (No. 216) and the conventional cell measures 5.7502, 5.7502 and 5.7502 Å, with angles of 90.00, 90.00 and 90.00 degrees. The distinct sites, in fractional coordinates, are Be at (0.0000, 0.0000, 0.0000), Co at (0.2500, 0.2500, 0.7500), Re at (0.2500, 0.2500, 0.2500) and As at (0.0000, 0.0000, 0.5000).

The mass density comes out at 11.5 Mg/m³. The total magnetization comes out at 0.00 μB per formula unit. As for the volume: 11.88 Å³ per atom.

Q) BeCoReAs after structural relaxation. Source: OQMD via LeMat-Bulk, functional PBE.

The space group is F-43m (No. 216) and the conventional cell measures 5.8494, 5.8494 and 5.8494 Å, with angles of 90.00, 90.00 and 90.00 degrees. The distinct sites, in fractional coordinates, are Be at (0.0000, 0.0000, 0.0000), Co at (0.0000, 0.0000, 0.5000), Re at (0.2500, 0.2500, 0.7500) and As at (0.2500, 0.2500, 0.2500).

The mass density comes out at 10.9 Mg/m³. The total magnetization comes out at 1.47 μB per formula unit. As for the volume: 12.51 Å³ per atom.

Relative stability in meV per atom, measured from the most stable structure: P) 0; Q) 459

P) ScBeCoAs after structural relaxation. Source: OQMD via LeMat-Bulk, functional PBE.

The space group is F-43m (No. 216) and the conventional cell measures 6.0252, 6.0252 and 6.0252 Å, with angles of 90.00, 90.00 and 90.00 degrees. The distinct sites, in fractional coordinates, are Sc at (0.0000, 0.0000, 0.0000), Be at (0.2500, 0.2500, 0.2500), Co at (0.0000, 0.0000, 0.5000) and As at (0.2500, 0.2500, 0.7500).

The mass density comes out at 5.7 Mg/m³. The total magnetization comes out at 0.93 μB per formula unit. As for the volume: 13.67 Å³ per atom.

Q) ScBeCoAs after structural relaxation. Source: OQMD via LeMat-Bulk, functional PBE.

The space group is F-43m (No. 216) and the conventional cell measures 5.9760, 5.9760 and 5.9760 Å, with angles of 90.00, 90.00 and 90.00 degrees. The distinct sites, in fractional coordinates, are Sc at (0.0000, 0.0000, 0.0000), Be at (0.2500, 0.2500, 0.2500), Co at (0.2500, 0.2500, 0.7500) and As at (0.0000, 0.0000, 0.5000).

The mass density comes out at 5.8 Mg/m³. The total magnetization comes out at 0.24 μB per formula unit. As for the volume: 13.34 Å³ per atom.

R) ScBeCoAs after structural relaxation. Source: OQMD via LeMat-Bulk, functional PBE.

The space group is F-43m (No. 216) and the conventional cell measures 6.0299, 6.0299 and 6.0299 Å, with angles of 90.00, 90.00 and 90.00 degrees. The distinct sites, in fractional coordinates, are Sc at (0.0000, 0.0000, 0.0000), Be at (0.0000, 0.0000, 0.5000), Co at (0.2500, 0.2500, 0.2500) and As at (0.2500, 0.2500, 0.7500).

The mass density comes out at 5.7 Mg/m³. The total magnetization comes out at 0.02 μB per formula unit. As for the volume: 13.70 Å³ per atom.

Relative stability in meV per atom, measured from the most stable structure: P) 0; Q) 41; R) 102

P) BeCoAsW after structural relaxation. Source: OQMD via LeMat-Bulk, functional PBE.

The space group is F-43m (No. 216) and the conventional cell measures 5.8487, 5.8487 and 5.8487 Å, with angles of 90.00, 90.00 and 90.00 degrees. The distinct sites, in fractional coordinates, are Be at (0.0000, 0.0000, 0.0000), Co at (0.2500, 0.2500, 0.7500), As at (0.0000, 0.0000, 0.5000) and W at (0.2500, 0.2500, 0.2500).

The mass density comes out at 10.8 Mg/m³. The total magnetization comes out at 0.50 μB per formula unit. As for the volume: 12.50 Å³ per atom.

Q) BeCoAsW after structural relaxation. Source: OQMD via LeMat-Bulk, functional PBE.

The space group is F-43m (No. 216) and the conventional cell measures 5.9288, 5.9288 and 5.9288 Å, with angles of 90.00, 90.00 and 90.00 degrees. The distinct sites, in fractional coordinates, are Be at (0.0000, 0.0000, 0.0000), Co at (0.0000, 0.0000, 0.5000), As at (0.2500, 0.2500, 0.2500) and W at (0.2500, 0.2500, 0.7500).

The mass density comes out at 10.4 Mg/m³. The total magnetization comes out at 2.05 μB per formula unit. As for the volume: 13.03 Å³ per atom.

Relative stability in meV per atom, measured from the most stable structure: P) 0; Q) 299

P) YBeCoAs after structural relaxation. Source: OQMD via LeMat-Bulk, functional PBE.

The space group is F-43m (No. 216) and the conventional cell measures 6.2356, 6.2356 and 6.2356 Å, with angles of 90.00, 90.00 and 90.00 degrees. The distinct sites, in fractional coordinates, are Y at (0.0000, 0.0000, 0.0000), Be at (0.2500, 0.2500, 0.2500), Co at (0.2500, 0.2500, 0.7500) and As at (0.0000, 0.0000, 0.5000).

The mass density comes out at 6.3 Mg/m³. The total magnetization comes out at 0.34 μB per formula unit. As for the volume: 15.15 Å³ per atom.

Q) YBeCoAs after structural relaxation. Source: OQMD via LeMat-Bulk, functional PBE.

The space group is F-43m (No. 216) and the conventional cell measures 6.3176, 6.3176 and 6.3176 Å, with angles of 90.00, 90.00 and 90.00 degrees. The distinct sites, in fractional coordinates, are Y at (0.0000, 0.0000, 0.0000), Be at (0.2500, 0.2500, 0.7500), Co at (0.0000, 0.0000, 0.5000) and As at (0.2500, 0.2500, 0.2500).

The mass density comes out at 6.1 Mg/m³. The total magnetization comes out at 0.91 μB per formula unit. As for the volume: 15.76 Å³ per atom.

Relative stability in meV per atom, measured from the most stable structure: P) 33; Q) 0

P) BeZnCoAs after structural relaxation. Source: OQMD via LeMat-Bulk, functional PBE.

The space group is F-43m (No. 216) and the conventional cell measures 5.8285, 5.8285 and 5.8285 Å, with angles of 90.00, 90.00 and 90.00 degrees. The distinct sites, in fractional coordinates, are Be at (0.0000, 0.0000, 0.0000), Zn at (0.2500, 0.2500, 0.2500), Co at (0.2500, 0.2500, 0.7500) and As at (0.0000, 0.0000, 0.5000).

The mass density comes out at 7.0 Mg/m³. The total magnetization comes out at 0.00 μB per formula unit. As for the volume: 12.37 Å³ per atom.

Q) BeZnCoAs after structural relaxation. Source: OQMD via LeMat-Bulk, functional PBE.

The space group is F-43m (No. 216) and the conventional cell measures 5.8212, 5.8212 and 5.8212 Å, with angles of 90.00, 90.00 and 90.00 degrees. The distinct sites, in fractional coordinates, are Be at (0.0000, 0.0000, 0.0000), Zn at (0.2500, 0.2500, 0.7500), Co at (0.0000, 0.0000, 0.5000) and As at (0.2500, 0.2500, 0.2500).

The mass density comes out at 7.0 Mg/m³. The total magnetization comes out at 0.00 μB per formula unit. As for the volume: 12.33 Å³ per atom.

Relative stability in meV per atom, measured from the most stable structure: P) 21; Q) 0

P) ZrBeCoAs after structural relaxation. Source: OQMD via LeMat-Bulk, functional PBE.

The space group is F-43m (No. 216) and the conventional cell measures 6.1024, 6.1024 and 6.1024 Å, with angles of 90.00, 90.00 and 90.00 degrees. The distinct sites, in fractional coordinates, are Zr at (0.0000, 0.0000, 0.0000), Be at (0.2500, 0.2500, 0.2500), Co at (0.2500, 0.2500, 0.7500) and As at (0.0000, 0.0000, 0.5000).

The mass density comes out at 6.8 Mg/m³. The total magnetization comes out at 0.00 μB per formula unit. As for the volume: 14.20 Å³ per atom.

Q) ZrBeCoAs after structural relaxation. Source: OQMD via LeMat-Bulk, functional PBE.

The space group is F-43m (No. 216) and the conventional cell measures 6.1265, 6.1265 and 6.1265 Å, with angles of 90.00, 90.00 and 90.00 degrees. The distinct sites, in fractional coordinates, are Zr at (0.0000, 0.0000, 0.0000), Be at (0.2500, 0.2500, 0.7500), Co at (0.0000, 0.0000, 0.5000) and As at (0.2500, 0.2500, 0.2500).

The mass density comes out at 6.8 Mg/m³. The total magnetization comes out at 1.21 μB per formula unit. As for the volume: 14.37 Å³ per atom.

Relative stability in meV per atom, measured from the most stable structure: P) 0; Q) 7

P) CsBeAsPd after structural relaxation. Source: OQMD via LeMat-Bulk, functional PBE.

The space group is F-43m (No. 216) and the conventional cell measures 7.1607, 7.1607 and 7.1607 Å, with angles of 90.00, 90.00 and 90.00 degrees. The distinct sites, in fractional coordinates, are Cs at (0.0000, 0.0000, 0.0000), Be at (0.0000, 0.0000, 0.5000), As at (0.2500, 0.2500, 0.2500) and Pd at (0.2500, 0.2500, 0.7500).

The mass density comes out at 5.8 Mg/m³. As for the volume: 22.95 Å³ per atom.

Q) CsBeAsPd after structural relaxation. Source: OQMD via LeMat-Bulk, functional PBE.

The space group is F-43m (No. 216) and the conventional cell measures 7.0398, 7.0398 and 7.0398 Å, with angles of 90.00, 90.00 and 90.00 degrees. The distinct sites, in fractional coordinates, are Cs at (0.0000, 0.0000, 0.0000), Be at (0.2500, 0.2500, 0.2500), As at (0.0000, 0.0000, 0.5000) and Pd at (0.2500, 0.2500, 0.7500).

The mass density comes out at 6.2 Mg/m³. As for the volume: 21.81 Å³ per atom.

Relative stability in meV per atom, measured from the most stable structure: P) 106; Q) 0